(1)
This record from the Alexandria database describes a geometry-optimized Cr2CoOs structure. The functional is GGA-PBEsol.

Geometry as CIF:
```
data_Cr2CoOs
_chemical_formula_sum 'Cr2 Co1 Os1'
_symmetry_space_group_name_H-M 'P 1'
_symmetry_Int_Tables_number 1
_symmetry_space_group_name_Hall 'P 1'
_cell_length_a 3.605
_cell_length_b 3.605
_cell_length_c 4.394
_cell_angle_alpha 114.22
_cell_angle_beta 114.22
_cell_angle_gamma 90.00
loop_
_atom_site_label
_atom_site_fract_x
_atom_site_fract_y
_atom_site_fract_z
Os1 0.500 0.500 0.000
Co1 0.000 0.000 0.000
Cr1 0.750 0.250 0.500
Cr2 0.250 0.750 0.500
```

Values from the calculation:
- total DFT energy (no corrections) (eV/atom) = -10.063
- DOS at the Fermi energy (states/eV/atom) = 1.1000
- V (Å³ per atom) = 11.63


(2)
This record from the Alexandria database describes a geometry-optimized CrCoOs2 structure. The functional is GGA-PBEsol.

Geometry as CIF:
```
data_CrCoOs2
_chemical_formula_sum 'Cr1 Co1 Os2'
_symmetry_space_group_name_H-M 'P 1'
_symmetry_Int_Tables_number 1
_symmetry_space_group_name_Hall 'P 1'
_cell_length_a 2.749
_cell_length_b 4.243
_cell_length_c 5.177
_cell_angle_alpha 114.20
_cell_angle_beta 105.40
_cell_angle_gamma 90.00
loop_
_atom_site_label
_atom_site_fract_x
_atom_site_fract_y
_atom_site_fract_z
Co1 0.500 0.000 0.000
Cr1 0.000 0.500 0.000
Os1 0.719 0.719 0.437
Os2 0.281 0.281 0.563
```

Values from the calculation:
- total DFT energy (no corrections) (eV/atom) = -10.207
- energy above the most stable polymorph in this dataset (meV per atom) = 335
- DOS at the Fermi energy (states/eV/atom) = 1.0923
- V (Å³ per atom) = 13.18